Entry from Alexandria via LeMat-Bulk: YSc3 at its PBEsol-relaxed geometry (meta-GGA SCAN).

Structure (POSCAR):
```
YSc3
1.0
5.1959 0.0000 0.0000
0.0000 6.7076 0.0000
0.0000 -3.3538 5.8090
Sc Y
6 2
Cartesian
3.8969 0.0000 1.8897
1.2990 3.3538 3.9193
3.8969 -1.7173 4.8641
1.2990 5.0711 0.9448
3.8969 1.7173 4.8641
1.2990 1.6365 0.9448
3.8969 3.3538 1.9363
1.2990 0.0000 3.8726
```

Density of states at the Fermi level, states/eV/cell: 9.75
Formation energy from the elements, eV per atom: 0.02
Magnetic moment, μB per cell: 4.136



Entry from Alexandria via LeMat-Bulk: Y2CrCd at its PBEsol-relaxed geometry (meta-GGA SCAN).

Structure (POSCAR):
```
Y2CrCd
1.0
5.0323 0.0000 0.0000
2.5161 4.3581 0.0000
2.5161 1.4527 4.1088
Cd Cr Y
1 1 2
Cartesian
5.0323 2.9054 2.0544
2.5161 1.4527 1.0272
0.0000 0.0000 0.0000
7.5484 4.3581 3.0816
```

Density of states at the Fermi level, states/eV/cell: 1.97
Formation energy from the elements, eV per atom: -0.01
Magnetic moment, μB per cell: 4.006



Entry from Alexandria via LeMat-Bulk: FeIrAu2 at its PBEsol-relaxed geometry (meta-GGA SCAN).

Structure (POSCAR):
```
FeIrAu2
1.0
-1.4610 1.9759 -1.2706
-2.7646 -0.1012 0.0097
-1.5574 5.4255 7.2165
Au Fe Ir
2 1 1
Cartesian
-1.4474 1.8768 1.5712
-4.3356 5.4234 4.3845
-2.8915 3.6501 2.9778
0.0000 0.0000 0.0000
```

Density of states at the Fermi level, states/eV/cell: 3.05
Formation energy from the elements, eV per atom: 0.24
Magnetic moment, μB per cell: 2.928



Entry from Alexandria via LeMat-Bulk: BaTl3In at its PBEsol-relaxed geometry (meta-GGA SCAN).

Structure (POSCAR):
```
BaTl3In
1.0
-3.8576 -3.1835 2.6492
2.4340 -4.6718 -2.0698
3.3509 -0.2715 4.5532
Tl Ba In
3 1 1
Cartesian
1.2170 -2.3359 -1.0349
1.6754 -0.1357 2.2766
-1.9288 -1.5917 1.3246
0.9636 -4.0634 2.5663
0.0000 0.0000 0.0000
```

Density of states at the Fermi level, states/eV/cell: 4.08
Formation energy from the elements, eV per atom: -0.07
Magnetic moment, μB per cell: 0.000



Entry from Alexandria via LeMat-Bulk: BaOsSe2 at its PBEsol-relaxed geometry (meta-GGA SCAN).

Structure (POSCAR):
```
BaOsSe2
1.0
-1.6953 -3.0086 -2.1483
2.0347 -0.7038 3.2297
-6.1790 0.6076 4.0251
Ba Os Se
1 1 2
Cartesian
-3.9372 -1.2005 0.9384
-0.8476 -1.5043 -1.0741
-4.9749 0.4892 3.2407
-1.2042 0.1184 0.7844
```

Formation energy (no corrections), kJ per mole of atoms: -13.6
Density of states at the Fermi level, states/eV/cell: 2.06
Magnetic moment, μB per cell: 1.864



Entry from Alexandria via LeMat-Bulk: ZrScSn2 at its PBEsol-relaxed geometry (meta-GGA SCAN).

Structure (POSCAR):
```
ZrScSn2
1.0
4.9926 0.0000 0.0000
2.4963 4.3237 0.0000
2.4963 1.4412 4.0764
Sc Sn Zr
1 2 1
Cartesian
0.0000 0.0000 0.0000
2.4963 1.4412 1.0191
7.4889 4.3237 3.0573
4.9926 2.8825 2.0382
```

Density of states at the Fermi level, states/eV/cell: 3.89
Formation energy from the elements, eV per atom: -0.42
Magnetic moment, μB per cell: 1.806



Entry from Alexandria via LeMat-Bulk: Y2RuSe at its PBEsol-relaxed geometry (meta-GGA SCAN).

Structure (POSCAR):
```
Y2RuSe
1.0
3.4171 0.0000 0.0000
0.0000 3.4171 0.0000
0.0000 0.0000 7.0661
Y Ru Se
2 1 1
Cartesian
0.0000 0.0000 5.4102
0.0000 0.0000 1.6558
1.7086 1.7086 0.0000
1.7086 1.7086 3.5330
```

Formation energy (no corrections), kJ per mole of atoms: -105.0
Density of states at the Fermi level, states/eV/cell: 0.56
Magnetic moment, μB per cell: 0.000



Entry from Alexandria via LeMat-Bulk: Cr4Mo5 at its PBEsol-relaxed geometry (meta-GGA SCAN).

Structure (POSCAR):
```
Cr4Mo5
1.0
-2.3416 -1.7706 -0.6944
2.0155 -3.1254 -5.3801
1.2676 -5.5254 3.2618
Cr Mo
4 5
Cartesian
-0.4079 -4.1359 -1.1839
1.3495 -6.2855 -1.6288
1.7584 -3.9505 -2.4092
1.5247 -4.7003 0.2909
0.0000 0.0000 0.0000
-0.7269 -4.8431 1.6954
-0.0944 -1.6421 -2.0474
-0.2317 -3.2540 -4.0270
-0.3470 -2.4529 0.8721
```

Density of states at the Fermi level, states/eV/cell: 4.84
Formation energy from the elements, eV per atom: 0.11
Magnetic moment, μB per cell: 0.000



Entry from Alexandria via LeMat-Bulk: SrAgSb2Pt at its PBEsol-relaxed geometry (meta-GGA SCAN).

Structure (POSCAR):
```
SrAgSb2Pt
1.0
-0.2254 -0.6807 -5.0763
2.3522 -4.6186 0.5149
-4.6415 -2.3064 0.5153
Sb Ag Pt Sr
2 1 1 1
Cartesian
-2.3208 -1.1532 0.2577
1.1761 -2.3093 0.2574
-0.1127 -0.3403 -2.5381
0.0000 0.0000 0.0000
-1.2574 -3.8028 -2.0230
```

Formation energy (no corrections), kJ per mole of atoms: -26.6
Density of states at the Fermi level, states/eV/cell: 3.13
Magnetic moment, μB per cell: 0.000



Entry from Alexandria via LeMat-Bulk: Pb2Au at its PBEsol-relaxed geometry (meta-GGA SCAN).

Structure (POSCAR):
```
Pb2Au
1.0
-1.0512 -0.1204 3.2289
3.2311 -0.0338 1.0507
-1.0998 6.5489 -1.9016
Pb Au
2 1
Cartesian
1.0871 1.7938 2.2087
-0.0070 4.6009 0.1693
0.0000 0.0000 0.0000
```

Density of states at the Fermi level, states/eV/cell: 1.24
Formation energy from the elements, eV per atom: -0.03
Magnetic moment, μB per cell: 0.000



Entry from Alexandria via LeMat-Bulk: Sr2AgIr at its PBEsol-relaxed geometry (meta-GGA SCAN).

Structure (POSCAR):
```
Sr2AgIr
1.0
-1.5612 -0.3052 3.8835
-1.6795 -3.7222 -0.9677
5.1619 -2.8112 1.8543
Ag Ir Sr
1 1 2
Cartesian
2.3575 -1.2839 0.8469
2.5201 -4.2686 2.9453
4.7463 -2.5849 1.7050
0.0401 -2.9180 2.0544
```

Density of states at the Fermi level, states/eV/cell: 1.57
Formation energy from the elements, eV per atom: 0.16
Magnetic moment, μB per cell: 0.003



Entry from Alexandria via LeMat-Bulk: Sc2Pt3 at its PBEsol-relaxed geometry (meta-GGA SCAN).

Structure (POSCAR):
```
Sc2Pt3
1.0
-3.5815 -2.2135 -3.0679
-3.5432 -3.4906 2.2319
-2.4069 6.1666 2.7835
Pt Sc
6 4
Cartesian
-2.4836 -0.0264 -0.6017
-6.3169 0.9407 3.1755
-4.5657 -1.3975 0.6066
-6.0255 1.2050 0.4332
-3.4014 -2.1022 -2.9137
-3.6903 0.8959 1.8950
-5.5170 -3.3654 -1.1026
-4.9257 3.2646 2.2695
-1.3718 2.0495 1.2090
-7.2802 -1.0435 1.4919
```

Density of states at the Fermi level, states/eV/cell: 3.33
Formation energy from the elements, eV per atom: -1.29
Magnetic moment, μB per cell: 0.000